(1)
PrTm7Pb2: optimized geometry, PBE.

Output
For the density of states at the Fermi level, the calculation gives 15.9 states/eV/f.u. As for the total energy: -4.069 eV per atom. The calculation puts the magnetic moment at 0.01 Bohr magnetons per cell. The value obtained for the density is 7.59 g/cm3.

Structure (CIF):
```
data_PrTm7Pb2
_chemical_formula_sum 'Pr2 Tm14 Pb4'
_cell_length_a 9.099
_cell_length_b 15.477
_cell_length_c 5.402
_cell_angle_alpha 90.00
_cell_angle_beta 90.00
_cell_angle_gamma 90.00
_symmetry_space_group_name_H-M 'C m m m'
_symmetry_Int_Tables_number 65
_symmetry_space_group_name_Hall '-C 2 2'
loop_
_atom_site_label
_atom_site_fract_x
_atom_site_fract_y
_atom_site_fract_z
_atom_site_occupancy
Pr1 0.000 0.000 0.000 1
Tm1 0.000 0.225 0.000 1
Tm2 0.000 0.500 0.500 1
Tm3 0.181 0.122 0.500 1
Pb1 0.000 0.306 0.500 1
```


(2)
Y2Ni6C: optimized geometry, PBE.

Output
For the density of states at the Fermi level, the calculation gives 5.6 states/eV/f.u. As for the total energy: -6.544 eV per atom. The calculation puts the magnetic moment at 0.00 Bohr magnetons per cell. The value obtained for the density is 7.29 g/cm3.

Structure (CIF):
```
data_Y2Ni6C
_chemical_formula_sum 'Y2 Ni6 C1'
_cell_length_a 5.5603
_cell_length_b 5.5603
_cell_length_c 4.6095
_cell_angle_alpha 90.00
_cell_angle_beta 90.00
_cell_angle_gamma 120.00
_symmetry_space_group_name_H-M 'P -3 m 1'
_symmetry_Int_Tables_number 164
_symmetry_space_group_name_Hall '-P 3 2"'
loop_
_atom_site_label
_atom_site_fract_x
_atom_site_fract_y
_atom_site_fract_z
_atom_site_occupancy
Y1 0.3333 0.6667 0.2332 1
Ni1 0.1542 0.3084 0.7377 1
C1 0.0000 0.0000 0.0000 1
```


(3)
CrPBr2: optimized geometry, PBE.

Output
For the density of states at the Fermi level, the calculation gives 1.1 states/eV/f.u. As for the formation energy without anion corrections: -0.1665 eV/atom. As for the total energy: -4.761 eV per atom. The calculation puts the magnetic moment at 2.99 Bohr magnetons per cell. The value obtained for the density is 3.98 g/cm3.

Structure (CIF):
```
data_CrPBr2
_chemical_formula_sum 'Cr1 P1 Br2'
_cell_length_a 3.544
_cell_length_b 3.544
_cell_length_c 8.059
_cell_angle_alpha 90.00
_cell_angle_beta 90.00
_cell_angle_gamma 90.00
_symmetry_space_group_name_H-M 'P 4 m m'
_symmetry_Int_Tables_number 99
_symmetry_space_group_name_Hall 'P 4 -2'
loop_
_atom_site_label
_atom_site_fract_x
_atom_site_fract_y
_atom_site_fract_z
_atom_site_occupancy
Cr1 0.000 0.000 0.000 1
P1 0.500 0.500 0.965 1
Br1 0.000 0.000 0.288 1
Br2 0.500 0.500 0.683 1
```


(4)
LaHfBe3: optimized geometry, PBE.

Output
For the density of states at the Fermi level, the calculation gives 6.0 states/eV/f.u. As for the total energy: -4.329 eV per atom. The calculation puts the magnetic moment at 0.44 Bohr magnetons per cell. The value obtained for the density is 5.37 g/cm3.

Structure (CIF):
```
data_LaHfBe3
_chemical_formula_sum 'La1 Hf1 Be3'
_cell_length_a 4.740
_cell_length_b 4.740
_cell_length_c 4.740
_cell_angle_alpha 90.00
_cell_angle_beta 90.00
_cell_angle_gamma 90.00
_symmetry_space_group_name_H-M 'P m -3 m'
_symmetry_Int_Tables_number 221
_symmetry_space_group_name_Hall '-P 4 2 3'
loop_
_atom_site_label
_atom_site_fract_x
_atom_site_fract_y
_atom_site_fract_z
_atom_site_occupancy
La1 0.000 0.000 0.000 1
Hf1 0.500 0.500 0.500 1
Be1 0.000 0.500 0.500 1
```


(5)
LaTb3Te6: optimized geometry, PBE.

Output
For the density of states at the Fermi level, the calculation gives 0.0 states/eV/f.u. As for the formation energy without anion corrections: -1.4553 eV/atom. As for the total energy: -5.222 eV per atom. The calculation puts the magnetic moment at 0.00 Bohr magnetons per cell. The value obtained for the density is 6.74 g/cm3.

Structure (CIF):
```
data_LaTb3Te6
_chemical_formula_sum 'La2 Tb6 Te12'
_cell_length_a 12.576
_cell_length_b 4.436
_cell_length_c 12.927
_cell_angle_alpha 90.00
_cell_angle_beta 109.31
_cell_angle_gamma 90.00
_symmetry_space_group_name_H-M 'P 1 21/m 1'
_symmetry_Int_Tables_number 11
_symmetry_space_group_name_Hall '-P 2yb'
loop_
_atom_site_label
_atom_site_fract_x
_atom_site_fract_y
_atom_site_fract_z
_atom_site_occupancy
La1 0.048 0.250 0.197 1
Tb1 0.155 0.250 0.583 1
Tb2 0.319 0.750 0.999 1
Tb3 0.438 0.250 0.335 1
Te1 0.086 0.750 0.404 1
Te2 0.118 0.250 0.967 1
Te3 0.196 0.750 0.750 1
Te4 0.260 0.750 0.224 1
Te5 0.391 0.250 0.559 1
Te6 0.484 0.250 0.117 1
```


(6)
CaPrHoTm: optimized geometry, PBE.

Output
For the density of states at the Fermi level, the calculation gives 6.2 states/eV/f.u. As for the total energy: -3.824 eV per atom. The calculation puts the magnetic moment at 0.00 Bohr magnetons per cell. The value obtained for the density is 6.28 g/cm3.

Structure (CIF):
```
data_CaPrHoTm
_chemical_formula_sum 'Ca4 Pr4 Ho4 Tm4'
_cell_length_a 8.166
_cell_length_b 8.166
_cell_length_c 8.166
_cell_angle_alpha 90.00
_cell_angle_beta 90.00
_cell_angle_gamma 90.00
_symmetry_space_group_name_H-M 'F -4 3 m'
_symmetry_Int_Tables_number 216
_symmetry_space_group_name_Hall 'F -4 2 3'
loop_
_atom_site_label
_atom_site_fract_x
_atom_site_fract_y
_atom_site_fract_z
_atom_site_occupancy
Ca1 0.000 0.000 0.000 1
Pr1 0.250 0.250 0.750 1
Ho1 0.250 0.250 0.250 1
Tm1 0.000 0.000 0.500 1
```


The highest magnetic moment belongs to which entry? CrPBr2


Look up the magnetic moment of the second one. 0.00 Bohr magnetons per cell


Repeat the first record exactly.
PrTm7Pb2: optimized geometry, PBE.

Output
For the density of states at the Fermi level, the calculation gives 15.9 states/eV/f.u. As for the total energy: -4.069 eV per atom. The calculation puts the magnetic moment at 0.01 Bohr magnetons per cell. The value obtained for the density is 7.59 g/cm3.

Structure (CIF):
```
data_PrTm7Pb2
_chemical_formula_sum 'Pr2 Tm14 Pb4'
_cell_length_a 9.099
_cell_length_b 15.477
_cell_length_c 5.402
_cell_angle_alpha 90.00
_cell_angle_beta 90.00
_cell_angle_gamma 90.00
_symmetry_space_group_name_H-M 'C m m m'
_symmetry_Int_Tables_number 65
_symmetry_space_group_name_Hall '-C 2 2'
loop_
_atom_site_label
_atom_site_fract_x
_atom_site_fract_y
_atom_site_fract_z
_atom_site_occupancy
Pr1 0.000 0.000 0.000 1
Tm1 0.000 0.225 0.000 1
Tm2 0.000 0.500 0.500 1
Tm3 0.181 0.122 0.500 1
Pb1 0.000 0.306 0.500 1
```